Entry from the Alexandria database: a relaxed structure of RhPb2Se (PBE).

CIF file:
```
data_RhPb2Se
_cell_length_a 3.480
_cell_length_b 4.044
_cell_length_c 14.142
_cell_angle_alpha 90.00
_cell_angle_beta 90.00
_cell_angle_gamma 90.00
_space_group_name_H-M_alt 'I m m m'
_space_group_IT_number 71
_space_group_name_Hall '-I 2 2'
loop_
_atom_site_label
_atom_site_type_symbol
_atom_site_fract_x
_atom_site_fract_y
_atom_site_fract_z
Rh1 Rh 0.000 0.000 0.000
Pb1 Pb 0.000 0.500 0.334
Se1 Se 0.000 0.000 0.500
```

Output
Total moment ... 0.000 Bohr magnetons per cell
Uncorrected energy ... -36.90 eV per cell
ρ ... 9.95 Mg/m³


Entry from the Alexandria database: a relaxed structure of MgNiSN2 (PBE).

CIF file:
```
data_MgNiSN2
_cell_length_a 3.828
_cell_length_b 3.828
_cell_length_c 5.285
_cell_angle_alpha 90.00
_cell_angle_beta 90.00
_cell_angle_gamma 90.00
_space_group_name_H-M_alt 'P 4/m m m'
_space_group_IT_number 123
_space_group_name_Hall '-P 4 2'
loop_
_atom_site_label
_atom_site_type_symbol
_atom_site_fract_x
_atom_site_fract_y
_atom_site_fract_z
Mg1 Mg 0.000 0.000 0.000
Ni1 Ni 0.500 0.500 0.500
S1 S 0.000 0.000 0.500
N1 N 0.000 0.500 0.000
```

Output
ΔE to the lowest computed polymorph ... 913 meV/atom
Total moment ... 3.680 Bohr magnetons per cell
ρ ... 3.07 Mg/m³


Entry from the Alexandria database: a relaxed structure of Cr2ReRh5 (PBE).

CIF file:
```
data_Cr2ReRh5
_cell_length_a 6.548
_cell_length_b 6.548
_cell_length_c 10.825
_cell_angle_alpha 90.00
_cell_angle_beta 90.00
_cell_angle_gamma 90.00
_space_group_name_H-M_alt 'I 4/m c m'
_space_group_IT_number 140
_space_group_name_Hall '-I 4 2c'
loop_
_atom_site_label
_atom_site_type_symbol
_atom_site_fract_x
_atom_site_fract_y
_atom_site_fract_z
Cr1 Cr 0.144 0.356 0.000
Re1 Re 0.000 0.000 0.250
Rh1 Rh 0.000 0.000 0.000
Rh2 Rh 0.150 0.350 0.338
```

Output
Total moment ... 24.241 Bohr magnetons per cell
ΔH_f (0 K) ... 196 meV per atom
ρ ... 11.52 Mg/m³


Entry from the Alexandria database: a relaxed structure of Zr2Sn2Ge (PBE).

CIF file:
```
data_Zr2Sn2Ge
_cell_length_a 7.248
_cell_length_b 7.248
_cell_length_c 4.397
_cell_angle_alpha 90.00
_cell_angle_beta 90.00
_cell_angle_gamma 90.00
_space_group_name_H-M_alt 'P 4/m b m'
_space_group_IT_number 127
_space_group_name_Hall '-P 4 2ab'
loop_
_atom_site_label
_atom_site_type_symbol
_atom_site_fract_x
_atom_site_fract_y
_atom_site_fract_z
Zr1 Zr 0.167 0.333 0.000
Sn1 Sn 0.144 0.644 0.500
Ge1 Ge 0.000 0.000 0.000
```

Output
ΔE to the lowest computed polymorph ... 0 meV/atom
Total moment ... 0.000 Bohr magnetons per cell
ΔH_f (0 K) ... -432 meV per atom
ρ ... 7.08 Mg/m³


Entry from the Alexandria database: a relaxed structure of CaSc2CoRu (PBE).

CIF file:
```
data_CaSc2CoRu
_cell_length_a 4.828
_cell_length_b 4.828
_cell_length_c 4.618
_cell_angle_alpha 90.00
_cell_angle_beta 90.00
_cell_angle_gamma 90.00
_space_group_name_H-M_alt 'P 4/m m m'
_space_group_IT_number 123
_space_group_name_Hall '-P 4 2'
loop_
_atom_site_label
_atom_site_type_symbol
_atom_site_fract_x
_atom_site_fract_y
_atom_site_fract_z
Ca1 Ca 0.000 0.000 0.000
Sc1 Sc 0.000 0.500 0.500
Co1 Co 0.500 0.500 0.500
Ru1 Ru 0.500 0.500 0.000
```

Output
Total moment ... 0.000 Bohr magnetons per cell
ΔH_f (0 K) ... 113 meV per atom
ρ ... 4.47 Mg/m³


Entry from the Alexandria database: a relaxed structure of BaZn2Sb (PBE).

CIF file:
```
data_BaZn2Sb
_cell_length_a 6.829
_cell_length_b 11.361
_cell_length_c 3.550
_cell_angle_alpha 90.00
_cell_angle_beta 120.29
_cell_angle_gamma 90.00
_space_group_name_H-M_alt 'C 1 2/m 1'
_space_group_IT_number 12
_space_group_name_Hall '-C 2y'
loop_
_atom_site_label
_atom_site_type_symbol
_atom_site_fract_x
_atom_site_fract_y
_atom_site_fract_z
Ba1 Ba 0.000 0.000 0.000
Zn1 Zn 0.250 0.250 0.500
Sb1 Sb 0.000 0.500 0.000
```

Output
Total moment ... 0.000 Bohr magnetons per cell
Uncorrected energy ... -17.08 eV per cell
ρ ... 5.44 Mg/m³